Computed, not measured: a geometry-optimized AcTl3Au3 structure at the GGA-PBE level of DFT.

Output
- volume (Å³/cell) = 458.7
- space group = Pm-3n
- energy relative to the elements (eV/atom) = 0.148
- total magnetic moment (Bohr magnetons per cell) = 0.00

```
14
Lattice="-2.610 -3.534 6.338 2.477 -6.765 -2.752 6.821 1.104 3.424" Properties=species:S:1:pos:R:3 pbc="T T T"
Tl 1.453 -2.098 6.466
Au 3.811 -0.939 5.737
Tl 2.944 -3.106 -0.520
Tl -0.686 -3.458 2.481
Au -0.719 -6.033 3.378
Ac 3.344 -4.597 3.505
Ac 0.000 0.000 0.000
Au 0.400 -1.491 4.025
Tl 6.354 -2.554 1.192
Au 0.586 -4.266 0.208
Tl 2.758 -0.331 3.297
Au 5.268 -4.522 -0.352
Au 4.030 -1.139 1.024
Tl 0.553 -6.841 1.105
```